# 1
Sc2ZnMo, optimized geometry, DFT GGA-PBEsol; Fermi-level density of states = 5.821 states/eV/cell; formation energy = 0.145 eV per atom; calculated total energy = -6.49 eV/atom; calculated volume = 18.380 A^3/atom; spin magnetization = 0.00 μB/f.u.
1.0
3.058 0.000 0.000
1.529 2.648 0.000
1.529 0.883 9.077
Mo Sc Zn
1 2 1
direct
0.000 0.000 0.000
0.251 0.251 0.246
0.749 0.749 0.754
0.500 0.500 0.500

---

# 2
ScZnMo2, optimized geometry, DFT GGA-PBEsol; excess energy over the best structure of this formula in the dataset = 208 meV per atom; Fermi-level density of states = 3.150 states/eV/cell; formation energy = 0.155 eV per atom; calculated total energy = -7.78 eV/atom; calculated volume = 16.137 A^3/atom; spin magnetization = 0.00 μB/f.u.
1.0
2.729 0.000 0.012
0.000 4.701 0.000
-0.782 0.000 5.029
Mo Sc Zn
2 1 1
direct
0.807 0.000 0.761
0.193 0.000 0.239
0.500 0.500 0.000
0.000 0.500 0.500

---

# 3
ScZnMo2, optimized geometry, DFT GGA-PBEsol; excess energy over the best structure of this formula in the dataset = 0 meV per atom; Fermi-level density of states = 4.036 states/eV/cell; formation energy = -0.053 eV per atom; calculated total energy = -7.98 eV/atom; calculated volume = 16.185 A^3/atom; spin magnetization = 0.00 μB/f.u.
1.0
3.211 0.000 0.000
0.000 3.211 0.000
0.000 0.000 6.279
Mo Sc Zn
2 1 1
direct
0.000 0.000 0.011
0.500 0.500 0.222
0.000 0.000 0.499
0.500 0.500 0.768

---

# 4
Zr2ScMo, optimized geometry, DFT GGA-PBEsol; excess energy over the best structure of this formula in the dataset = 0 meV per atom; Fermi-level density of states = 4.403 states/eV/cell; formation energy = 0.040 eV per atom; calculated total energy = -9.10 eV/atom; calculated volume = 20.316 A^3/atom; spin magnetization = 0.00 μB/f.u.
1.0
3.397 0.000 0.000
0.000 5.029 0.000
-1.699 -2.514 4.757
Sc Mo Zr
1 1 2
direct
0.000 0.500 0.000
0.500 0.000 0.000
0.783 0.783 0.566
0.217 0.217 0.434

---

# 5
ZrScMo, optimized geometry, DFT GGA-PBEsol; Fermi-level density of states = 3.159 states/eV/cell; formation energy = 0.544 eV per atom; calculated total energy = -8.61 eV/atom; calculated volume = 21.626 A^3/atom; spin magnetization = 0.00 μB/f.u.
1.0
-1.714 -2.334 3.458
2.430 -3.266 1.942
1.652 0.586 4.156
Mo Sc Zr
1 1 1
direct
0.250 0.250 0.250
0.000 0.000 0.000
0.500 0.500 0.500

---

# 6
Zr2ScMo, optimized geometry, DFT GGA-PBEsol; excess energy over the best structure of this formula in the dataset = 12 meV per atom; Fermi-level density of states = 4.877 states/eV/cell; formation energy = 0.052 eV per atom; calculated total energy = -9.09 eV/atom; calculated volume = 20.142 A^3/atom; spin magnetization = 0.00 μB/f.u.
1.0
-0.219 -3.198 1.113
-0.437 -1.545 -4.524
5.244 1.923 1.383
Mo Sc Zr
1 1 2
direct
0.493 0.493 0.985
0.222 0.722 0.443
0.002 0.002 0.003
0.784 0.284 0.569